Here is NiSbBr2 after structural relaxation from the Alexandria database. Energies are from PBE-GGA.

Output
Formation energy from raw total energies (eV/atom): -0.131
Calculated total energy (eV/f.u.): -13.8
Space-group type: Pm (6)
Distance to the lowest polymorph of the same formula (eV/atom): 0.170

```
4
Lattice="-0.403 -0.346 3.559 0.076 -4.326 -0.412 7.190 -2.830 0.539" Properties=species:S:1:pos:R:3 pbc="T T T"
Sb 4.615 -5.078 1.848
Ni 4.151 -3.216 0.157
Br 2.391 -2.604 1.837
Br 6.528 -3.011 0.446
```